1.
Computed, not measured: a relaxed structure of LiPrBr2 at the GGA-PBE level of DFT.

Lattice parameters (Å, degrees): 3.9753 3.9753 26.4815 90.00 90.00 120.00
Space group R-3m (No. 166, hexagonal axes)
Unique sites:
Li (0.0000, 0.0000, 0.0000) [3 per cell]
Pr (0.0000, 0.0000, 0.5000) [3 per cell]
Br (0.0000, 0.0000, 0.3903) [6 per cell]

Results
The calculation puts the density at 4.2 Mg/m³. The energy relative to the elements, uncorrected comes out at -1.214 eV/atom.

2.
Computed, not measured: a relaxed structure of LiPrBr3 at the GGA-PBE level of DFT.

Lattice parameters (Å, degrees): 3.7370 7.5423 10.4366 108.77 90.01 90.01
Space group P1 (No. 1)
Unique sites:
Li (0.0000, 0.0000, 0.0000) [1 per cell]
Li (0.4983, 0.3916, 0.3098) [1 per cell]
Pr (0.0004, 0.4014, 0.8320) [1 per cell]
Pr (0.4997, 0.9896, 0.4767) [1 per cell]
Br (0.9998, 0.1160, 0.2840) [1 per cell]
Br (0.9999, 0.9774, 0.7052) [1 per cell]
Br (0.5004, 0.2752, 0.0250) [1 per cell]
Br (0.5003, 0.4136, 0.6033) [1 per cell]
Br (0.5005, 0.7392, 0.9659) [1 per cell]
Br (0.9991, 0.6519, 0.3427) [1 per cell]

Results
The calculation puts the density at 4.6 Mg/m³. The energy relative to the elements, uncorrected comes out at -1.569 eV/atom.

3.
Computed, not measured: a relaxed structure of LiPrBr4 at the GGA-PBE level of DFT.

Lattice parameters (Å, degrees): 8.8624 18.1359 6.8633 90.00 128.87 90.00
Space group C2/c (No. 15)
Unique sites:
Li (0.0000, 0.1374, 0.2500) [4 per cell]
Pr (0.0000, 0.3335, 0.7500) [4 per cell]
Br (0.2059, 0.2031, 0.7150) [8 per cell]
Br (0.2358, 0.4288, 0.7191) [8 per cell]

Results
The calculation puts the density at 3.6 Mg/m³. The energy relative to the elements, uncorrected comes out at -1.716 eV/atom.

4.
Computed, not measured: a relaxed structure of LiPrBr4 at the GGA-PBE level of DFT.

Lattice parameters (Å, degrees): 7.0338 4.2924 7.1590 90.00 95.51 90.00
Space group P2/m (No. 10)
Unique sites:
Li (0.0000, 0.0000, 0.0000) [1 per cell]
Pr (0.0000, 0.5000, 0.5000) [1 per cell]
Br (0.2117, 0.5000, 0.1751) [2 per cell]
Br (0.2355, 0.0000, 0.6885) [2 per cell]

Results
The calculation puts the density at 3.6 Mg/m³. The energy relative to the elements, uncorrected comes out at -1.726 eV/atom.

5.
Computed, not measured: a relaxed structure of Li2PrBr6 at the GGA-PBE level of DFT.

Lattice parameters (Å, degrees): 13.7917 4.5339 10.0115 90.00 105.51 90.00
Space group C2/m (No. 12)
Unique sites:
Li (0.2112, 0.0000, 0.1580) [4 per cell]
Pr (0.0000, 0.0000, 0.5000) [2 per cell]
Br (0.0468, 0.0000, 0.2400) [4 per cell]
Br (0.1445, 0.5000, 0.5967) [4 per cell]
Br (0.1698, 0.5000, 0.0434) [4 per cell]

Results
The calculation puts the density at 3.5 Mg/m³. The energy relative to the elements, uncorrected comes out at -1.369 eV/atom.

6.
Computed, not measured: a relaxed structure of LiPr2Br at the GGA-PBE level of DFT.

Lattice parameters (Å, degrees): 3.5812 3.5812 34.8935 90.00 90.00 120.00
Space group R-3m (No. 166, hexagonal axes)
Unique sites:
Li (0.0000, 0.0000, 0.0000) [3 per cell]
Pr (0.0000, 0.0000, 0.0966) [6 per cell]
Br (0.0000, 0.0000, 0.5000) [3 per cell]

Results
The calculation puts the density at 4.7 Mg/m³. The energy relative to the elements, uncorrected comes out at -0.321 eV/atom.

7.
Computed, not measured: a relaxed structure of LiPrBr2 at the GGA-PBE level of DFT.

Lattice parameters (Å, degrees): 3.8068 3.8068 23.6374 90.00 90.00 120.00
Space group R3m (No. 160, hexagonal axes)
Unique sites:
Li (0.0000, 0.0000, 0.0000) [3 per cell]
Pr (0.0000, 0.0000, 0.1663) [3 per cell]
Br (0.0000, 0.0000, 0.4014) [3 per cell]
Br (0.0000, 0.0000, 0.5985) [3 per cell]

Results
The calculation puts the density at 5.2 Mg/m³. The energy relative to the elements, uncorrected comes out at -1.319 eV/atom.

8.
Computed, not measured: a relaxed structure of Li4Pr2Br9 at the GGA-PBE level of DFT.

Lattice parameters (Å, degrees): 12.4165 7.1670 19.3462 90.00 90.00 90.00
Space group C2/c (No. 15)
Unique sites:
Li (0.1666, 0.9997, 0.1646) [8 per cell]
Li (0.1665, 0.9998, 0.4865) [8 per cell]
Pr (0.0000, 0.4998, 0.1567) [8 per cell]
Br (0.0000, 0.1615, 0.2500) [4 per cell]
Br (0.0099, 0.1415, 0.5819) [8 per cell]
Br (0.1692, 0.3313, 0.7500) [8 per cell]
Br (0.1743, 0.3056, 0.0819) [8 per cell]
Br (0.1843, 0.3355, 0.4180) [8 per cell]

Results
The calculation puts the density at 4.0 Mg/m³. The energy relative to the elements, uncorrected comes out at -1.613 eV/atom.

- Which of these has the highest density?
  number 7